Entry 1:
Material: SrH3O
Method: DFT, GGA-PBE
State: optimized geometry

Unit cell a=3.6530 b=3.6530 c=3.6530 alpha=90.00 beta=90.00 gamma=90.00
With the nearest neighbours (Å) after each atom.
Space group Pm-3m (No. 221)
Inequivalent atoms, fractional coordinates:
Sr: 0.0000 0.0000 0.0000 x1  12 H 2.58
H: 0.0000 0.5000 0.5000 x3  2 O 1.83
O: 0.5000 0.5000 0.5000 x1  6 H 1.83

## Properties
- Magnetization: 0.00 μB per formula unit
- E above lowest polymorph: 0.000 eV per atom
- DFT total energy: -3.1533 eV/atom
- Crystal system: cubic



Entry 2:
Material: SrHO3
Method: DFT, GGA-PBE
State: optimized geometry

Unit cell a=3.6602 b=3.6602 c=3.6602 alpha=90.00 beta=90.00 gamma=90.00
With the nearest neighbours (Å) after each atom.
Space group Pm-3m (No. 221)
Inequivalent atoms, fractional coordinates:
Sr: 0.0000 0.0000 0.0000 x1  12 O 2.59
H: 0.5000 0.5000 0.5000 x1  6 O 1.83
O: 0.0000 0.5000 0.5000 x3  2 H 1.83

## Properties
- Magnetization: 3.00 μB per formula unit
- DFT total energy: -4.4550 eV/atom
- Crystal system: cubic